Below is crystalline CsNp4Pd3S12 at its relaxed geometry, with properties calculated at the PBE-GGA level.

The calculated volume comes out at 23.449 Å³/atom. The value obtained for the magnetization is 11.00 μB per formula unit.

CIF file:
```
data_CsNp4Pd3S12
_cell_length_a 9.789
_cell_length_b 9.789
_cell_length_c 9.789
_cell_angle_alpha 90.00
_cell_angle_beta 90.00
_cell_angle_gamma 90.00
_symmetry_space_group_name_H-M 'I m -3'
_symmetry_Int_Tables_number 204
_symmetry_space_group_name_Hall '-I 2 2 3'
loop_
_atom_site_label
_atom_site_type_symbol
_atom_site_fract_x
_atom_site_fract_y
_atom_site_fract_z
Cs1 Cs 0.000 0.000 0.000
Np1 Np 0.250 0.250 0.250
Pd1 Pd 0.000 0.000 0.500
S1 S 0.000 0.322 0.166
```

***

Below is crystalline Pr3TmSe6 at its relaxed geometry, with properties calculated at the PBE-GGA level.

The calculated volume comes out at 31.971 Å³/atom. The value obtained for the magnetization is 0.00 μB per formula unit.

CIF file:
```
data_Pr3TmSe6
_cell_length_a 12.3229
_cell_length_b 12.3229
_cell_length_c 14.5864
_cell_angle_alpha 90.00
_cell_angle_beta 90.00
_cell_angle_gamma 120.00
_symmetry_space_group_name_H-M 'R -3'
_symmetry_Int_Tables_number 148
_symmetry_space_group_name_Hall '-R 3'
loop_
_atom_site_label
_atom_site_type_symbol
_atom_site_fract_x
_atom_site_fract_y
_atom_site_fract_z
Pr1 Pr 0.0512 0.2716 0.2009
Tm1 Tm 0.0000 0.0000 0.0000
Tm2 Tm 0.0000 0.0000 0.5000
Se1 Se 0.0208 0.2060 0.3985
Se2 Se 0.0323 0.1922 0.8813
```

***

Below is crystalline AlCrRu4 at its relaxed geometry, with properties calculated at the PBE-GGA level.

Its formation energy is 33.2 kJ per mole of atoms. The calculated volume comes out at 15.294 Å³/atom. The value obtained for the magnetization is 1.55 μB per formula unit.

CIF file:
```
data_AlCrRu4
_cell_length_a 7.160
_cell_length_b 7.160
_cell_length_c 7.160
_cell_angle_alpha 90.00
_cell_angle_beta 90.00
_cell_angle_gamma 90.00
_symmetry_space_group_name_H-M 'F -4 3 m'
_symmetry_Int_Tables_number 216
_symmetry_space_group_name_Hall 'F -4 2 3'
loop_
_atom_site_label
_atom_site_type_symbol
_atom_site_fract_x
_atom_site_fract_y
_atom_site_fract_z
Al1 Al 0.000 0.000 0.000
Cr1 Cr 0.250 0.250 0.750
Ru1 Ru 0.125 0.125 0.375
```

***

| no. | E (eV per cell) |
| --- | --- |
| 1 | -269.09 |
| 2 | -350.15 |
| 3 | -193.61 |